{"formula": "CsPmAgBr5", "functional": "GGA-PBE", "state": "optimized geometry", "crystal_system": "monoclinic", "e_form_raw_ev_per_atom": -1.49, "magmom_total_mub_per_fu": 0.00, "e_tot_ry_per_atom": -0.264, "rho_g_cm3": 3.96, "lattice_angstrom": [[-1.008, -3.039, -7.579], [6.999, -3.042, 3.076], [-7.657, -5.426, 5.753]], "species": ["Br", "Br", "Br", "Br", "Br", "Br", "Br", "Br", "Br", "Br", "Pm", "Pm", "Ag", "Ag", "Cs", "Cs"], "frac_coords": [[0.300, 0.900, 0.592], [0.100, 0.700, 0.908], [0.368, 0.241, 0.067], [0.700, 0.100, 0.408], [0.759, 0.632, 0.433], [0.932, 0.068, 0.750], [0.632, 0.759, 0.933], [0.900, 0.300, 0.092], [0.241, 0.368, 0.567], [0.068, 0.932, 0.250], [0.000, 0.000, 0.500], [0.000, 0.000, 0.000], [0.689, 0.311, 0.250], [0.311, 0.689, 0.750], [0.344, 0.656, 0.250], [0.656, 0.344, 0.750]]}



{"formula": "TiSiNi4", "functional": "GGA-PBE", "state": "optimized geometry", "crystal_system": "triclinic", "e_form_raw_ev_per_atom": -0.43, "magmom_total_mub_per_fu": 0.00, "e_tot_ry_per_atom": -0.478, "rho_g_cm3": 7.30, "lattice_angstrom": [[-0.242, 3.476, 1.818], [0.114, -3.734, 2.872], [8.392, -0.714, 2.461]], "species": ["Ni", "Ni", "Ni", "Ni", "Ni", "Ni", "Ni", "Ni", "Ti", "Ti", "Si", "Si"], "frac_coords": [[0.777, 0.053, 0.411], [0.501, 0.502, 0.349], [0.001, 0.502, 0.849], [0.277, 0.053, 0.911], [0.223, 0.947, 0.589], [0.723, 0.947, 0.089], [0.499, 0.498, 0.651], [0.999, 0.498, 0.151], [0.250, 0.000, 0.250], [0.750, 0.000, 0.750], [0.500, 0.500, 0.000], [0.000, 0.500, 0.500]]}



{"formula": "CaEu2Ho", "functional": "GGA-PBE", "state": "optimized geometry", "crystal_system": "tetragonal", "polymorph_energy_mev_per_atom": 8.7, "magmom_total_mub_per_fu": 15.51, "e_tot_ry_per_atom": -0.493, "rho_g_cm3": 5.45, "lattice_angstrom": [[-3.121, 0.650, 2.015], [-2.024, 0.142, -3.179], [-1.803, -10.741, 0.669]], "species": ["Ca", "Eu", "Eu", "Ho"], "frac_coords": [[0.500, 0.500, 0.500], [0.000, 0.000, 0.234], [0.000, 0.000, 0.766], [0.500, 0.500, 0.000]]}